#one
An optimized crystal structure of La5Tb4Pr2. Source: the Alexandria database, functional GGA-PBE.

Cell lengths 3.587, 9.391, 23.863 Å; angles 90.00, 90.00, 90.00 degrees
Space group Immm (No. 71)
Asymmetric unit:
La1 0.000 0.000 0.000 [2 per cell]
La2 0.000 0.301 0.355 [8 per cell]
Tb1 0.000 0.186 0.500 [4 per cell]
Tb2 0.000 0.500 0.096 [4 per cell]
Pr1 0.000 0.500 0.232 [4 per cell]

#two
An optimized crystal structure of La5Tb4Pr2. Source: the Alexandria database, functional GGA-PBE.

Cell lengths 18.139, 3.592, 11.870 Å; angles 90.00, 93.79, 90.00 degrees
Space group C2/m (No. 12)
Asymmetric unit:
La1 0.000 0.000 0.000 [2 per cell]
La2 0.095 0.500 0.534 [4 per cell]
La3 0.176 0.500 0.073 [4 per cell]
Tb1 0.032 0.500 0.260 [4 per cell]
Tb2 0.140 0.000 0.800 [4 per cell]
Pr1 0.217 0.000 0.351 [4 per cell]

Need the numbers? Relative energies in kJ/mol of atoms: #one 8.7; #two 0.0.

#one
An optimized crystal structure of La3TbPr6. Source: the Alexandria database, functional GGA-PBE.

Cell lengths 13.714, 16.547, 6.436 Å; angles 90.00, 90.00, 90.00 degrees
Space group Cmc2_1 (No. 36)
Asymmetric unit:
La1 0.000 0.136 0.000 [4 per cell]
La2 0.207 0.429 0.364 [8 per cell]
Tb1 0.000 0.346 0.089 [4 per cell]
Pr1 0.000 0.242 0.526 [4 per cell]
Pr2 0.000 0.439 0.637 [4 per cell]
Pr3 0.120 0.060 0.483 [8 per cell]
Pr4 0.225 0.290 0.811 [8 per cell]

#two
An optimized crystal structure of La3TbPr6. Source: the Alexandria database, functional GGA-PBE.

Cell lengths 11.651, 7.211, 9.051 Å; angles 90.00, 104.61, 90.00 degrees
Space group C2/m (No. 12)
Asymmetric unit:
La1 0.000 0.000 0.000 [2 per cell]
La2 0.037 0.500 0.842 [4 per cell]
Tb1 0.000 0.000 0.500 [2 per cell]
Pr1 0.164 0.500 0.491 [4 per cell]
Pr2 0.246 0.224 0.808 [8 per cell]

Need the numbers? Relative energies in kJ/mol of atoms: #one 0.0; #two 7.6.

#one
An optimized crystal structure of LaTb4Pr7. Source: the Alexandria database, functional GGA-PBE.

Cell lengths 6.409, 7.400, 9.111 Å; angles 90.01, 103.54, 90.02 degrees
Space group P-1 (No. 2)
Asymmetric unit:
La1 0.000 0.000 0.000 [1 per cell]
Tb1 0.218 0.500 0.665 [2 per cell]
Tb2 0.277 0.745 0.334 [2 per cell]
Pr1 0.000 0.500 0.000 [1 per cell]
Pr2 0.223 0.000 0.665 [2 per cell]
Pr3 0.280 0.253 0.336 [2 per cell]
Pr4 0.500 0.253 0.998 [2 per cell]

#two
An optimized crystal structure of LaTb4Pr7. Source: the Alexandria database, functional GGA-PBE.

Cell lengths 16.341, 6.094, 9.562 Å; angles 90.00, 116.42, 90.00 degrees
Space group C2/m (No. 12)
Asymmetric unit:
La1 0.000 0.000 0.000 [2 per cell]
Tb1 0.071 0.500 0.697 [4 per cell]
Tb2 0.170 0.500 0.386 [4 per cell]
Pr1 0.000 0.500 0.000 [2 per cell]
Pr2 0.086 0.000 0.450 [4 per cell]
Pr3 0.210 0.000 0.233 [4 per cell]
Pr4 0.215 0.000 0.882 [4 per cell]

Need the numbers? Relative energies in kJ/mol of atoms: #one 0.0; #two 17.8.

#one
An optimized crystal structure of La3Tb4Pr2. Source: the Alexandria database, functional GGA-PBE.

Cell lengths 15.483, 5.186, 8.208 Å; angles 90.00, 108.66, 90.00 degrees
Space group C2/m (No. 12)
Asymmetric unit:
La1 0.000 0.000 0.000 [2 per cell]
La2 0.113 0.000 0.665 [4 per cell]
Tb1 0.168 0.500 0.998 [4 per cell]
Tb2 0.222 0.000 0.330 [4 per cell]
Pr1 0.057 0.500 0.331 [4 per cell]

#two
An optimized crystal structure of La3Tb4Pr2. Source: the Alexandria database, functional GGA-PBE.

Cell lengths 16.742, 11.973, 6.238 Å; angles 90.00, 97.77, 90.00 degrees
Space group C2/c (No. 15)
Asymmetric unit:
La1 0.000 0.127 0.250 [4 per cell]
La2 0.163 0.367 0.090 [8 per cell]
Tb1 0.055 0.381 0.536 [8 per cell]
Tb2 0.227 0.122 0.361 [8 per cell]
Pr1 0.114 0.129 0.796 [8 per cell]

Need the numbers? Relative energies in kJ/mol of atoms: #one 0.0; #two 6.2.